(1)
This record from Alexandria describes a relaxed ErLuPd2 crystal. The functional is PBEsol.

POSCAR file:
```
ErLuPd2
1.0
-3.316 -3.212 -1.339
-1.717 -3.156 3.194
-4.519 0.406 1.589
Er Lu Pd
1 1 2
direct
0.500 0.500 0.500
0.000 0.000 0.000
0.250 0.250 0.250
0.750 0.750 0.750
```

## Properties
Calculated formation energy ... -0.936 eV/atom
Calculated volume ... 78.5 Å³ per cell
E_tot ... -25.461 eV/cell


(2)
This record from Alexandria describes a relaxed ErLuRh2 crystal. The functional is PBEsol.

POSCAR file:
```
ErLuRh2
1.0
4.692 0.000 0.000
2.346 4.063 0.000
2.346 1.354 3.831
Rh Er Lu
2 1 1
direct
0.750 0.750 0.750
0.250 0.250 0.250
0.500 0.500 0.500
0.000 0.000 0.000
```

## Properties
Calculated formation energy ... -0.945 eV/atom
Calculated volume ... 73.0 Å³ per cell
E_tot ... -29.856 eV/cell


(3)
This record from Alexandria describes a relaxed ErLuZn2 crystal. The functional is PBEsol.

POSCAR file:
```
ErLuZn2
1.0
-1.453 3.939 -2.493
-4.286 2.099 1.033
-0.117 4.366 2.185
Zn Lu Er
2 1 1
direct
0.250 0.250 0.250
0.750 0.750 0.750
0.500 0.500 0.500
0.000 0.000 0.000
```

## Properties
Calculated formation energy ... -0.355 eV/atom
Calculated volume ... 82.3 Å³ per cell
E_tot ... -14.384 eV/cell


(4)
This record from Alexandria describes a relaxed ErMg crystal. The functional is PBEsol.

POSCAR file:
```
ErMg
1.0
3.713 0.000 0.000
0.000 3.713 0.000
0.000 0.000 3.713
Mg Er
1 1
direct
0.500 0.500 0.500
0.000 0.000 0.000
```

## Properties
Calculated formation energy ... -0.052 eV/atom
Calculated volume ... 51.2 Å³ per cell
E_tot ... -6.747 eV/cell


(5)
This record from Alexandria describes a relaxed Er3Mg crystal. The functional is PBEsol.

POSCAR file:
```
Er3Mg
1.0
5.409 0.000 0.000
0.000 6.837 0.000
0.000 -3.418 5.921
Er Mg
6 2
direct
0.750 0.169 0.831
0.750 0.662 0.831
0.250 0.831 0.662
0.250 0.831 0.169
0.250 0.338 0.169
0.750 0.169 0.338
0.750 0.667 0.333
0.250 0.333 0.667
```

## Properties
Calculated formation energy ... 0.017 eV/atom
Calculated volume ... 219.0 Å³ per cell
E_tot ... -32.862 eV/cell


(6)
This record from Alexandria describes a relaxed Er2Mg crystal. The functional is PBEsol.

POSCAR file:
```
Er2Mg
1.0
3.424 0.000 0.000
0.000 3.424 0.000
-1.712 -1.712 6.869
Er Mg
2 1
direct
0.336 0.336 0.671
0.664 0.664 0.329
0.000 0.000 0.000
```

## Properties
Calculated formation energy ... -0.024 eV/atom
Calculated volume ... 80.5 Å³ per cell
E_tot ... -11.645 eV/cell